# 1
Compound: K2Si3BiAu12
Source: Alexandria via LeMat-Bulk
Functional: PBE-GGA
Structure: relaxed

The structure belongs to space group R-3m (No. 166, hexagonal axes); the cell edges are 9.0927, 9.0927 and 20.3744 Å and the angles 90.00°, 90.00° and 120.00°. Symmetry generates all atoms from K at (0.0000, 0.0000, 0.0996), Si at (0.0000, 0.5000, 0.0000), Bi at (0.0000, 0.0000, 0.5000), Au at (0.9997, 0.4999, 0.1227) and Au at (0.1059, 0.5529, 0.3755).

Its energy is -180.933 eV/cell. As for the raw formation energy: 1.4 eV/f.u.

***

# 2
Compound: K2Sn3BiAu4
Source: Alexandria via LeMat-Bulk
Functional: PBE-GGA
Structure: relaxed

The structure belongs to space group P-4m2 (No. 115); the cell edges are 5.035, 5.035 and 10.925 Å and the angles 90.00°, 90.00° and 90.00°. Symmetry generates all atoms from K at (0.000, 0.500, 0.242), Sn at (0.000, 0.500, 0.888), Sn at (0.500, 0.500, 0.500), Bi at (0.000, 0.000, 0.500), Au at (0.000, 0.000, 0.000), Au at (0.000, 0.500, 0.636) and Au at (0.500, 0.500, 0.000).

For the formation energy, the calculation gives -294 meV/atom. Its energy is -34.129 eV/cell.

***

# 3
Compound: KSnBiAu
Source: Alexandria via LeMat-Bulk
Functional: PBE-GGA
Structure: relaxed

The structure belongs to space group Imm2 (No. 44); the cell edges are 4.889, 4.894 and 11.578 Å and the angles 90.00°, 90.00° and 90.00°. Symmetry generates all atoms from K at (0.000, 0.000, 0.000), Sn at (0.000, 0.500, 0.234), Bi at (0.000, 0.000, 0.384) and Au at (0.000, 0.000, 0.631).

For the formation energy, the calculation gives -201 meV/atom. Its energy is -26.123 eV/cell.

***

> Which of these has the lowest energy?

K2Si3BiAu12

***

> Which value of energy does entry 1 give?

-180.933 eV/cell

***

> energy of number 3 (KSnBiAu)?

-26.123 eV/cell